Compound: ScNiSe2
Source: Alexandria via LeMat-Bulk
Functional: PBE
Structure: relaxed

The structure in POSCAR format:
```
ScNiSe2
1.0
1.889 -3.130 0.000
1.889 3.130 0.000
0.000 0.000 6.776
Sc Ni Se
1 1 2
Cartesian
0.000 0.000 0.000
0.000 0.000 3.388
1.889 0.000 1.819
1.889 0.000 4.957
```

Output
As for the symmetry: No. 65. As for the raw total energy: -5.352 eV per atom. The calculation puts the uncorrected formation energy at -581.3 meV per atom.